A plane-wave DFT calculation with PBE with a Hubbard U was carried out for a relaxed structure of V2CrO7.

Properties
**Raw total energy**: -7.429 eV/atom
**Total magnetic moment**: 1.98 μB/f.u.

```
V2CrO7
1.0
8.592 0.000 0.000
0.000 8.592 0.000
0.000 0.000 8.592
V Cr O
8 4 28
direct
0.120 0.880 0.380
0.120 0.620 0.880
0.380 0.380 0.380
0.380 0.120 0.880
0.620 0.620 0.620
0.620 0.880 0.120
0.880 0.120 0.620
0.880 0.380 0.120
0.000 0.000 0.000
0.000 0.500 0.500
0.500 0.000 0.500
0.500 0.500 0.000
0.000 0.000 0.500
0.000 0.500 0.000
0.064 0.689 0.400
0.064 0.811 0.900
0.100 0.564 0.689
0.100 0.936 0.189
0.189 0.100 0.936
0.189 0.400 0.436
0.311 0.600 0.936
0.311 0.900 0.436
0.400 0.064 0.689
0.400 0.436 0.189
0.436 0.311 0.900
0.436 0.189 0.400
0.500 0.500 0.500
0.500 0.000 0.000
0.564 0.689 0.100
0.564 0.811 0.600
0.600 0.564 0.811
0.600 0.936 0.311
0.689 0.100 0.564
0.689 0.400 0.064
0.811 0.600 0.564
0.811 0.900 0.064
0.900 0.064 0.811
0.900 0.436 0.311
0.936 0.189 0.100
0.936 0.311 0.600
```